(1)
Density functional theory data (GGA-PBE) for a relaxed LaErP crystal.

## Properties
Space-group type: Cmcm (63)
Formation enthalpy at 0 K, kJ per mole of atoms: -53
Offset from the most stable computed form, eV/atom: 0.384

extended XYZ file:
```
6
Lattice="2.9328 -5.7449 0.0000 2.9328 5.7449 0.0000 0.0000 0.0000 5.8491" Properties=species:S:1:pos:R:3 pbc="T T T"
La 2.9328 3.4488 4.3868
La 2.9328 -3.4488 1.4623
Er 2.9328 0.0000 0.0000
Er 2.9328 0.0000 2.9245
P 2.9328 2.3194 1.4623
P 2.9328 -2.3194 4.3868
```

(2)
Density functional theory data (GGA-PBE) for a relaxed NaPuVBr6 crystal.

## Properties
Space-group type: P-31c (163)
Uncorrected formation energy, meV/atom: -1284

extended XYZ file:
```
18
Lattice="7.0077 0.0000 0.0000 -3.5039 6.0689 0.0000 0.0000 0.0000 13.4533" Properties=species:S:1:pos:R:3 pbc="T T T"
Na 0.0000 0.0000 0.0000
Na 0.0000 0.0000 6.7267
Pu 0.0000 4.0459 3.3633
Pu 3.5039 2.0230 10.0900
V 0.0000 4.0459 10.0900
V 3.5039 2.0230 3.3633
Br -1.0790 2.2310 8.5115
Br -2.1113 4.0190 11.6685
Br 1.0790 2.2310 11.6685
Br -1.0323 5.8878 8.5115
Br 2.4716 0.1811 1.7848
Br 1.3926 2.0499 4.9418
Br 2.1113 4.0190 8.5115
Br 1.0323 5.8878 11.6685
Br 4.5362 0.1811 4.9418
Br 2.4249 3.8379 1.7848
Br 5.6151 2.0499 1.7848
Br 4.5828 3.8379 4.9418
```

(3)
Density functional theory data (GGA-PBE) for a relaxed Si2Ni21P6 crystal.

## Properties
Space-group type: Fm-3m (225)
Uncorrected formation energy, meV/atom: -398

extended XYZ file:
```
29
Lattice="0.0000 5.4903 5.4903 5.4903 0.0000 5.4903 5.4903 5.4903 0.0000" Properties=species:S:1:pos:R:3 pbc="T T T"
Si 2.7451 2.7451 2.7451
Si 8.2354 8.2354 8.2354
Ni 0.0000 0.0000 0.0000
Ni 1.9055 1.9055 0.0000
Ni 3.5848 3.5848 0.0000
Ni 1.9055 0.0000 1.9055
Ni 5.4903 3.5848 1.9055
Ni 3.5848 0.0000 3.5848
Ni 5.4903 1.9055 3.5848
Ni 6.8555 4.1251 4.1251
Ni 0.0000 1.9055 1.9055
Ni 3.5848 5.4903 1.9055
Ni 3.5848 1.9055 5.4903
Ni 4.1251 4.1251 4.1251
Ni 6.8555 6.8555 4.1251
Ni 6.8555 4.1251 6.8555
Ni 4.1251 6.8555 4.1251
Ni 4.1251 4.1251 6.8555
Ni 6.8555 6.8555 6.8555
Ni 0.0000 3.5848 3.5848
Ni 1.9055 5.4903 3.5848
Ni 1.9055 3.5848 5.4903
Ni 4.1251 6.8555 6.8555
P 5.4903 5.4903 2.9234
P 5.4903 2.9234 5.4903
P 8.0572 5.4903 5.4903
P 2.9234 5.4903 5.4903
P 5.4903 8.0572 5.4903
P 5.4903 5.4903 8.0572
```

(4)
Density functional theory data (GGA-PBE) for a relaxed SrZnAs2 crystal.

## Properties
Space-group type: R3m (160)
Formation enthalpy at 0 K, kJ per mole of atoms: -31

extended XYZ file:
```
4
Lattice="2.3006 1.3283 5.3293 -2.3006 1.3283 5.3293 0.0000 -2.6565 5.3293" Properties=species:S:1:pos:R:3 pbc="T T T"
Sr 0.0000 0.0000 0.0000
Zn 0.0000 0.0000 3.5313
As 0.0000 0.0000 8.0694
As 0.0000 0.0000 12.6800
```